Record 1
The following is a GGA-PBE calculation of a relaxed Ce2ZrGa3Pt4 crystal, from Alexandria via LeMat-Bulk.

Lattice parameters (Å, degrees): 4.1598 4.1598 11.4815 90.00 90.00 90.00
Space group P-4m2 (No. 115)
Unique sites:
Ce: 0.0000 0.5000 0.2375
Zr: 0.0000 0.0000 0.5000
Ga: 0.0000 0.5000 0.8711
Ga: 0.5000 0.5000 0.5000
Pt: 0.0000 0.0000 0.0000
Pt: 0.0000 0.5000 0.6526
Pt: 0.5000 0.5000 0.0000

## Properties
Crystal system: tetragonal

Record 2
The following is a GGA-PBE calculation of a relaxed CeZrGa5Pt2 crystal, from Alexandria via LeMat-Bulk.

Lattice parameters (Å, degrees): 4.5983 4.5983 9.6360 90.00 90.00 90.00
Space group P4/mmm (No. 123)
Unique sites:
Ce: 0.0000 0.0000 0.0000
Zr: 0.0000 0.0000 0.5000
Ga: 0.0000 0.5000 0.3284
Ga: 0.5000 0.5000 0.0000
Pt: 0.5000 0.5000 0.2395

## Properties
Crystal system: tetragonal

Record 3
The following is a GGA-PBE calculation of a relaxed CePuGa3 crystal, from Alexandria via LeMat-Bulk.

Lattice parameters (Å, degrees): 5.5703 5.5703 25.5536 90.00 90.00 120.00
Space group R-3m (No. 166, hexagonal axes)
Unique sites:
Ce: 0.0000 0.0000 0.1972
Pu: 0.0000 0.0000 0.3080
Ga: 0.0028 0.5014 0.7490

## Properties
Crystal system: trigonal

Total energy, record by record: -62.95; -44.29; -184.47 eV for the cell shown
Formation energy, record by record: -929; -288; -280 meV/atom
Spin magnetization, record by record: 1.7; 1.6; 40.2 μB per cell